Rb2BeVMo | Alexandria | GGA-PBE | relaxed; space-group type = P4/mmm (123); total moment = 0.184 μB/atom; total DFT energy (no corrections) = -15.87 eV per cell; DFT formation energy = 1.949 eV/atom
1.0
6.6670 0.0000 0.0000
0.0000 4.5539 0.0000
0.0000 0.0000 6.6670
Be Mo Rb V
1 1 2 1
Cartesian
0.0000 2.2770 0.0000 Be
0.0000 0.0000 0.0000 Mo
0.0000 0.0000 3.3335 Rb
3.3335 0.0000 0.0000 Rb
3.3335 2.2770 3.3335 V